{
  "formula": "Mg3Fe2Si3O12",
  "functional": "PBE+U",
  "state": "optimized geometry",
  "lattice": [[-5.8940, 5.8940, 5.8940], [5.8940, -5.8940, 5.8940], [5.8940, 5.8940, -5.8940]],
  "species": ["Mg", "Mg", "Mg", "Mg", "Mg", "Mg", "Mg", "Mg", "Mg", "Mg", "Mg", "Mg", "Fe", "Fe", "Fe", "Fe", "Fe", "Fe", "Fe", "Fe", "Si", "Si", "Si", "Si", "Si", "Si", "Si", "Si", "Si", "Si", "Si", "Si", "O", "O", "O", "O", "O", "O", "O", "O", "O", "O", "O", "O", "O", "O", "O", "O", "O", "O", "O", "O", "O", "O", "O", "O", "O", "O", "O", "O", "O", "O", "O", "O", "O", "O", "O", "O", "O", "O", "O", "O", "O", "O", "O", "O", "O", "O", "O", "O"],
  "frac_coords": [[0.1250, 0.2500, 0.3750], [0.1250, 0.3750, 0.7500], [0.2500, 0.3750, 0.1250], [0.2500, 0.8750, 0.6250], [0.3750, 0.1250, 0.2500], [0.3750, 0.7500, 0.1250], [0.6250, 0.2500, 0.8750], [0.6250, 0.8750, 0.7500], [0.7500, 0.1250, 0.3750], [0.7500, 0.6250, 0.8750], [0.8750, 0.6250, 0.2500], [0.8750, 0.7500, 0.6250], [0.0000, 0.0000, 0.0000], [0.0000, 0.0000, 0.5000], [0.0000, 0.5000, 0.0000], [0.0000, 0.5000, 0.5000], [0.5000, 0.0000, 0.0000], [0.5000, 0.0000, 0.5000], [0.5000, 0.5000, 0.0000], [0.5000, 0.5000, 0.5000], [0.1250, 0.7500, 0.8750], [0.1250, 0.8750, 0.2500], [0.2500, 0.1250, 0.8750], [0.2500, 0.6250, 0.3750], [0.3750, 0.2500, 0.6250], [0.3750, 0.6250, 0.7500], [0.6250, 0.3750, 0.2500], [0.6250, 0.7500, 0.3750], [0.7500, 0.3750, 0.6250], [0.7500, 0.8750, 0.1250], [0.8750, 0.1250, 0.7500], [0.8750, 0.2500, 0.1250], [0.0206, 0.2125, 0.1241], [0.0206, 0.3081, 0.8965], [0.0885, 0.7125, 0.6919], [0.0885, 0.8759, 0.3965], [0.1035, 0.6241, 0.4115], [0.1035, 0.9794, 0.6919], [0.1241, 0.0206, 0.2125], [0.1241, 0.6035, 0.9115], [0.1919, 0.2125, 0.5885], [0.1919, 0.4794, 0.6035], [0.2125, 0.1241, 0.0206], [0.2125, 0.5885, 0.1919], [0.2875, 0.3081, 0.9115], [0.2875, 0.4794, 0.3759], [0.3081, 0.8965, 0.0206], [0.3081, 0.9115, 0.2875], [0.3759, 0.2875, 0.4794], [0.3759, 0.5885, 0.8965], [0.3965, 0.0885, 0.8759], [0.3965, 0.8081, 0.5206], [0.4115, 0.1035, 0.6241], [0.4115, 0.8081, 0.7875], [0.4794, 0.3759, 0.2875], [0.4794, 0.6035, 0.1919], [0.5206, 0.3965, 0.8081], [0.5206, 0.6241, 0.7125], [0.5885, 0.1919, 0.2125], [0.5885, 0.8965, 0.3759], [0.6035, 0.1919, 0.4794], [0.6035, 0.9115, 0.1241], [0.6241, 0.4115, 0.1035], [0.6241, 0.7125, 0.5206], [0.6919, 0.0885, 0.7125], [0.6919, 0.1035, 0.9794], [0.7125, 0.5206, 0.6241], [0.7125, 0.6919, 0.0885], [0.7875, 0.4115, 0.8081], [0.7875, 0.8759, 0.9794], [0.8081, 0.5206, 0.3965], [0.8081, 0.7875, 0.4115], [0.8759, 0.3965, 0.0885], [0.8759, 0.9794, 0.7875], [0.8965, 0.0206, 0.3081], [0.8965, 0.3759, 0.5885], [0.9115, 0.1241, 0.6035], [0.9115, 0.2875, 0.3081], [0.9794, 0.6919, 0.1035], [0.9794, 0.7875, 0.8759]],
  "space_group": "Ia-3d (230)",
  "total_energy_ev_per_fu": -140.341
}